No. 1
A plane-wave DFT calculation with PBE was carried out for an optimized crystal structure of LaNdDyHo2.

Magnetization in μB/f.u.: 0.0
DFT total energy in eV/atom: -4.33
SG: Cmcm (63)

The structure in extended XYZ format:
```
10
Lattice="-2.4688 -2.8352 -6.1656 -1.7601 -7.2344 4.0314 -4.4265 5.5875 -0.7969" Properties=species:S:1:pos:R:3 pbc="T T T"
Dy -3.6074 0.4014 -0.8546
Dy -5.0479 -4.8836 -2.0765
La -3.9870 -3.4016 1.0462
La -4.6683 -1.0806 -3.9772
Ho -1.2093 -4.9705 2.7699
Ho -2.4437 -6.3881 -0.3129
Ho -1.7852 -3.6815 -1.8212
Ho -0.5508 -2.2639 1.2616
Nd -6.7989 -2.3576 1.6920
Nd -1.8564 -2.1246 -4.6231
```



No. 2
A plane-wave DFT calculation with PBE was carried out for an optimized crystal structure of La2NdDy2Ho2.

Magnetization in μB/f.u.: 0.0
DFT total energy in eV/atom: -4.68
SG: C2/m (12)

The structure in extended XYZ format:
```
7
Lattice="-4.3416 1.2752 -2.3692 3.1229 -4.6850 -2.7386 -4.2096 -4.4995 5.2923" Properties=species:S:1:pos:R:3 pbc="T T T"
Ho -0.3696 -4.7402 -1.8742
Ho -5.0587 -3.1692 2.0587
Nd 0.0000 0.0000 0.0000
La -1.5260 -3.0715 1.1432
La -3.9023 -4.8378 -0.9586
Dy -3.0841 -6.1742 2.3284
Dy -2.3442 -1.7352 -2.1439
```



No. 3
A plane-wave DFT calculation with PBE was carried out for an optimized crystal structure of LaNd6Dy2Ho.

Magnetization in μB/f.u.: 0.0
DFT total energy in eV/atom: -4.62
SG: C2/c (15)

The structure in extended XYZ format:
```
20
Lattice="-5.1072 7.9990 2.2303 -0.8410 1.2426 -8.8481 -5.8682 -5.5320 3.9371" Properties=species:S:1:pos:R:3 pbc="T T T"
Nd -4.8146 -3.5884 2.0652
Nd -4.0573 -0.8806 -4.0542
Nd -10.3468 1.5906 1.8310
Nd -7.6585 -1.0277 2.3038
Nd -4.1578 4.7374 -4.9844
Nd -4.1139 2.0616 -2.5174
Nd -6.7934 2.3852 3.6492
Nd -7.7023 1.6480 -0.1632
Nd -5.0229 1.3244 -6.3298
Nd -1.4695 2.1190 -4.5116
Nd -7.7590 4.5902 1.3736
Nd -7.0017 7.2980 -4.7457
Ho -5.0825 -0.7530 -0.7504
Ho -6.7337 4.4626 -1.9302
La -2.2630 3.0466 -7.9211
La -9.5533 0.6630 5.2405
Dy -1.6844 -0.3525 -1.7582
Dy -4.7360 2.9758 0.6237
Dy -7.0802 0.7338 -3.3043
Dy -10.1319 4.0621 -0.9224
```



No. 4
A plane-wave DFT calculation with PBE was carried out for an optimized crystal structure of La2NdDyHo2.

Magnetization in μB/f.u.: 0.0
DFT total energy in eV/atom: -4.66
SG: Pmc2_1 (26)

The structure in extended XYZ format:
```
12
Lattice="5.7413 0.0000 0.0000 0.0000 7.0904 0.0000 0.0000 0.0000 9.9777" Properties=species:S:1:pos:R:3 pbc="T T T"
La 2.8706 3.6004 9.9730
La 0.0000 1.8301 1.6895
La 0.0000 5.3753 8.2882
La 2.8706 0.0552 0.0047
Ho 2.8706 1.8259 3.3360
Ho 2.8706 5.3711 6.6417
Ho 0.0000 5.3720 1.6707
Ho 0.0000 1.8267 8.3070
Nd 0.0000 3.5976 4.9922
Nd 0.0000 0.0524 4.9855
Dy 2.8706 5.3688 3.3554
Dy 2.8706 1.8235 6.6223
```



No. 5
A plane-wave DFT calculation with PBE was carried out for an optimized crystal structure of LaNd2Dy2Ho.

Magnetization in μB/f.u.: 0.0
DFT total energy in eV/atom: -4.65
SG: Pnnm (58)

The structure in extended XYZ format:
```
12
Lattice="-0.9570 -1.3125 -5.4658 -7.8128 -5.5261 2.6950 -4.2102 5.6502 -0.6196" Properties=species:S:1:pos:R:3 pbc="T T T"
Dy -6.2571 -2.2741 1.6417
Dy -10.1456 -1.0282 -0.9509
Dy -5.7659 2.3982 0.4337
Dy -2.8345 -0.1602 -2.4395
Ho -4.3849 -3.4193 -1.3854
Ho -2.1051 2.8251 -0.3098
Nd -4.9275 2.6411 -2.7457
Nd -3.6414 -0.4455 0.7446
Nd -8.0526 -3.8295 -0.6447
Nd -8.3816 0.5696 1.3308
La 0.0000 0.0000 0.0000
La -6.4900 -0.5942 -1.6952
```



No. 6
A plane-wave DFT calculation with PBE was carried out for an optimized crystal structure of LaNdDy2Ho.

Magnetization in μB/f.u.: 0.0
DFT total energy in eV/atom: -4.35
SG: Cmcm (63)

The structure in extended XYZ format:
```
10
Lattice="6.4635 0.0000 0.0000 0.0000 6.4663 0.0000 0.0000 -3.2331 8.4130" Properties=species:S:1:pos:R:3 pbc="T T T"
Dy 3.2317 1.6164 0.0000
Dy 0.0000 1.6164 0.0000
Dy 3.2317 4.8499 0.0000
Dy 0.0000 4.8499 0.0000
Ho 4.8476 3.2331 4.2100
Ho 1.6159 0.0000 4.2030
Nd 1.6159 3.2331 5.7992
Nd 4.8476 0.0000 2.6138
La 4.8476 0.0000 5.7072
La 1.6159 3.2331 2.7058
```



No. 7
A plane-wave DFT calculation with PBE was carried out for an optimized crystal structure of La3NdDyHo.

Magnetization in μB/f.u.: 0.0
DFT total energy in eV/atom: -4.77
SG: P2_1/m (11)

The structure in extended XYZ format:
```
12
Lattice="-0.5723 3.4812 1.0234 -10.7162 -1.1164 -2.1950 1.9365 -2.7571 10.4614" Properties=species:S:1:pos:R:3 pbc="T T T"
Ho -9.1342 0.5845 2.7926
Ho -0.2178 -0.9768 6.4971
Nd -2.7174 -0.2078 9.0760
Nd -6.6347 -0.1845 0.2137
La -6.0043 -1.1022 3.6878
La 0.3941 -1.8967 9.9687
La -5.3107 -2.0091 7.1608
La -4.0414 1.6168 2.1290
La -3.3477 0.7099 5.6020
La -9.7462 1.5045 -0.6790
Dy -8.4920 -0.3160 6.2151
Dy -0.8601 -0.0762 3.0747
```



No. 8
A plane-wave DFT calculation with PBE was carried out for an optimized crystal structure of La3NdDy6Ho2.

Magnetization in μB/f.u.: 0.0
DFT total energy in eV/atom: -4.67
SG: C2/m (12)

The structure in extended XYZ format:
```
12
Lattice="6.2446 -0.0010 0.0047 -3.1217 5.4084 0.0047 -1.0501 -1.8183 11.7136" Properties=species:S:1:pos:R:3 pbc="T T T"
Ho -0.0009 3.6060 0.0047
Ho 3.1239 1.8014 0.0047
Dy -1.0459 1.8022 2.8764
Dy -0.0038 -0.0066 8.8408
Dy 3.1187 1.7869 8.8466
Dy 2.0767 3.5957 2.8822
Dy 2.0837 -0.0053 2.8764
Dy -0.0108 3.5943 8.8466
La 4.1574 -0.0079 5.8615
La -2.0846 3.5970 5.8615
La 1.0364 1.7945 5.8615
Nd 0.0000 0.0000 0.0000
```



No. 9
A plane-wave DFT calculation with PBE was carried out for an optimized crystal structure of La2Nd4DyHo.

Magnetization in μB/f.u.: 0.0
DFT total energy in eV/atom: -4.74
SG: P2/m (10)

The structure in extended XYZ format:
```
8
Lattice="5.1804 0.0000 0.0000 0.0000 5.0592 0.9918 0.0001 3.0806 11.2065" Properties=species:S:1:pos:R:3 pbc="T T T"
Nd 5.1804 2.0306 3.0561
Nd 0.0001 6.1092 9.1422
Nd 2.5903 4.5653 3.5425
Nd 2.5902 3.5745 8.6559
La 2.5902 1.5403 5.6033
La 0.0001 3.0806 11.2065
Dy 2.5902 2.5296 0.4959
Ho 0.0001 4.0699 6.0992
```



No. 10
A plane-wave DFT calculation with PBE was carried out for an optimized crystal structure of LaNd4DyHo2.

Magnetization in μB/f.u.: 0.0
DFT total energy in eV/atom: -4.70
SG: P2/m (10)

The structure in extended XYZ format:
```
8
Lattice="-0.9733 3.5025 0.3262 -11.4307 -2.9700 -2.2139 -2.0101 -1.1029 5.8447" Properties=species:S:1:pos:R:3 pbc="T T T"
Nd -4.2842 2.4957 1.2576
Nd -4.8252 0.1880 4.0033
Nd -9.5889 -0.7585 -0.0462
Nd -10.1299 -3.0662 2.6995
Ho -1.4917 1.1998 3.0855
Ho -2.0101 -1.1029 5.8447
Dy -6.7204 -2.0365 1.8155
La -6.2020 0.2662 -0.9438
```



No. 11
A plane-wave DFT calculation with PBE was carried out for an optimized crystal structure of LaNd5DyHo2.

Magnetization in μB/f.u.: 0.0
DFT total energy in eV/atom: -4.58
SG: Cmc2_1 (36)

The structure in extended XYZ format:
```
18
Lattice="5.7344 0.0000 0.0000 -2.8672 10.1808 0.0000 0.0000 0.0000 10.6881" Properties=species:S:1:pos:R:3 pbc="T T T"
Ho 0.0000 2.3607 3.4151
Ho 2.8672 7.8201 8.7592
Ho 0.0000 2.3095 7.8425
Ho 2.8672 7.8713 2.4984
Nd 2.8672 4.4726 8.7008
Nd 2.8672 0.4174 2.5750
Nd 0.0000 9.7635 7.9190
Nd 2.8672 9.8386 5.5923
Nd 0.0000 5.7082 3.3568
Nd 2.8672 2.3316 5.6009
Nd 0.0000 0.3422 0.2482
Nd 2.8672 4.1543 2.2033
Nd 0.0000 7.8492 0.2569
Nd 0.0000 6.0265 7.5474
Dy 0.0000 4.0530 0.1190
Dy 2.8672 6.1278 5.4630
La 0.0000 8.4589 4.8221
La 2.8672 1.7219 10.1661
```